VASP calculation (PBE with a Hubbard U) on a relaxed MnGe2PtO crystal.

```
MnGe2PtO
1.0
4.510 0.000 0.000
0.000 4.193 0.000
0.000 0.000 4.510
Ge Mn O Pt
2 1 1 1
direct
0.000 0.000 0.500 Ge
0.500 0.000 0.000 Ge
0.500 0.500 0.500 Mn
0.000 0.000 0.000 O
0.000 0.500 0.000 Pt
```

Results
Symmetry   P4/mmm
Density   8.009 Mg/m³
Size of the total moment   4.31 Bohr magnetons per cell
Calculated total energy   -27.02 eV per cell